{"formula": "HgMo2Br", "functional": "PBE-GGA", "state": "optimized geometry", "magmom_total_mub_per_cell": 0.00, "spacegroup": "No. 8", "formation_energy_uncorrected_ev_per_atom": 0.544, "lattice": [[6.381, -1.609, 0.000], [6.381, 1.609, 0.000], [-0.991, 0.000, 4.860]], "species": ["Hg", "Mo", "Mo", "Br"], "fractional_positions": [[0.000, 0.000, 0.000], [0.523, 0.523, 0.513], [0.882, 0.882, 0.434], [0.232, 0.232, 0.623]]}

***

{"formula": "Hg2MoBr", "functional": "PBE-GGA", "state": "optimized geometry", "magmom_total_mub_per_cell": 3.66, "spacegroup": "No. 10", "formation_energy_uncorrected_ev_per_atom": 0.666, "lattice": [[3.675, 0.000, 0.000], [0.000, 5.326, 0.000], [-1.086, 0.000, 5.245]], "species": ["Hg", "Hg", "Mo", "Br"], "fractional_positions": [[0.163, 0.000, 0.270], [0.837, 0.000, 0.730], [0.500, 0.500, 0.500], [0.500, 0.500, 0.000]]}

***

{"formula": "Hg2MoBr", "functional": "PBE-GGA", "state": "optimized geometry", "magmom_total_mub_per_cell": 4.81, "spacegroup": "No. 225", "formation_energy_uncorrected_ev_per_atom": 0.900, "lattice": [[0.000, 3.725, 3.725], [3.725, 0.000, 3.725], [3.725, 3.725, 0.000]], "species": ["Hg", "Hg", "Mo", "Br"], "fractional_positions": [[0.250, 0.250, 0.250], [0.750, 0.750, 0.750], [0.000, 0.000, 0.000], [0.500, 0.500, 0.500]]}

***

{"formula": "Hg2MoBr", "functional": "PBE-GGA", "state": "optimized geometry", "magmom_total_mub_per_cell": 0.83, "spacegroup": "No. 65", "formation_energy_uncorrected_ev_per_atom": 0.634, "lattice": [[2.943, -4.567, 0.000], [2.943, 4.567, 0.000], [0.000, 0.000, 3.128]], "species": ["Hg", "Hg", "Mo", "Br"], "fractional_positions": [[0.000, 0.500, 0.000], [0.500, 0.000, 0.000], [0.000, 0.000, 0.500], [0.500, 0.500, 0.500]]}

***

{"formula": "Hg2MoBr", "functional": "PBE-GGA", "state": "optimized geometry", "magmom_total_mub_per_cell": 3.40, "spacegroup": "No. 47", "formation_energy_uncorrected_ev_per_atom": 0.688, "lattice": [[3.344, 0.000, 0.000], [0.000, 4.830, 0.000], [0.000, 0.000, 5.759]], "species": ["Hg", "Hg", "Mo", "Br"], "fractional_positions": [[0.000, 0.000, 0.000], [0.500, 0.500, 0.000], [0.000, 0.500, 0.500], [0.500, 0.000, 0.500]]}

***

{"formula": "HgMo3Br", "functional": "PBE-GGA", "state": "optimized geometry", "magmom_total_mub_per_cell": 11.41, "spacegroup": "No. 221", "formation_energy_uncorrected_ev_per_atom": 2.447, "lattice": [[5.311, 0.000, 0.000], [0.000, 5.311, 0.000], [0.000, 0.000, 5.311]], "species": ["Hg", "Mo", "Mo", "Mo", "Br"], "fractional_positions": [[0.000, 0.000, 0.000], [0.000, 0.000, 0.500], [0.000, 0.500, 0.000], [0.500, 0.000, 0.000], [0.500, 0.500, 0.500]]}

***

{"formula": "HgMoBr3", "functional": "PBE-GGA", "state": "optimized geometry", "magmom_total_mub_per_cell": 3.00, "spacegroup": "No. 221", "formation_energy_uncorrected_ev_per_atom": -0.084, "lattice": [[5.291, 0.000, 0.000], [0.000, 5.291, 0.000], [0.000, 0.000, 5.291]], "species": ["Hg", "Mo", "Br", "Br", "Br"], "fractional_positions": [[0.000, 0.000, 0.000], [0.500, 0.500, 0.500], [0.000, 0.500, 0.500], [0.500, 0.000, 0.500], [0.500, 0.500, 0.000]]}

***

{"formula": "HgMo2Br", "functional": "PBE-GGA", "state": "optimized geometry", "magmom_total_mub_per_cell": 0.17, "spacegroup": "No. 47", "formation_energy_uncorrected_ev_per_atom": 1.002, "lattice": [[3.025, 0.000, 0.000], [0.000, 4.888, 0.000], [0.000, 0.000, 5.151]], "species": ["Hg", "Mo", "Mo", "Br"], "fractional_positions": [[0.000, 0.000, 0.000], [0.000, 0.500, 0.500], [0.500, 0.500, 0.000], [0.500, 0.000, 0.500]]}

***

{"formula": "HgMo2Br", "functional": "PBE-GGA", "state": "optimized geometry", "magmom_total_mub_per_cell": 0.00, "spacegroup": "No. 71", "formation_energy_uncorrected_ev_per_atom": 0.943, "lattice": [[-1.483, 2.617, 4.809], [1.483, -2.617, 4.809], [1.483, 2.617, -4.809]], "species": ["Hg", "Mo", "Mo", "Br"], "fractional_positions": [[0.000, 0.000, 0.000], [0.267, 0.767, 0.500], [0.733, 0.233, 0.500], [0.500, 0.500, 0.000]]}

***

{"formula": "HgMo2Br", "functional": "PBE-GGA", "state": "optimized geometry", "magmom_total_mub_per_cell": 0.00, "spacegroup": "No. 35", "formation_energy_uncorrected_ev_per_atom": 0.420, "lattice": [[1.655, -2.630, 0.000], [1.655, 2.630, 0.000], [0.000, 0.000, 9.695]], "species": ["Hg", "Mo", "Mo", "Br"], "fractional_positions": [[0.000, 0.000, 0.000], [0.000, 0.000, 0.556], [0.500, 0.500, 0.742], [0.500, 0.500, 0.328]]}

***

{"formula": "HgMo2Br", "functional": "PBE-GGA", "state": "optimized geometry", "magmom_total_mub_per_cell": 0.02, "spacegroup": "No. 216", "formation_energy_uncorrected_ev_per_atom": 1.092, "lattice": [[0.000, 3.339, 3.339], [3.339, 0.000, 3.339], [3.339, 3.339, 0.000]], "species": ["Hg", "Mo", "Mo", "Br"], "fractional_positions": [[0.000, 0.000, 0.000], [0.250, 0.250, 0.250], [0.500, 0.500, 0.500], [0.750, 0.750, 0.750]]}

***

{"formula": "HgMo2Br", "functional": "PBE-GGA", "state": "optimized geometry", "magmom_total_mub_per_cell": 0.90, "spacegroup": "No. 123", "formation_energy_uncorrected_ev_per_atom": 1.238, "lattice": [[4.043, 0.000, 0.000], [0.000, 4.043, 0.000], [0.000, 0.000, 4.645]], "species": ["Hg", "Mo", "Mo", "Br"], "fractional_positions": [[0.000, 0.000, 0.000], [0.000, 0.500, 0.500], [0.500, 0.000, 0.500], [0.500, 0.500, 0.000]]}

***

{"formula": "Hg2MoBr", "functional": "PBE-GGA", "state": "optimized geometry", "magmom_total_mub_per_cell": 0.00, "spacegroup": "No. 99", "formation_energy_uncorrected_ev_per_atom": 0.368, "lattice": [[3.134, 0.000, 0.000], [0.000, 3.134, 0.000], [0.000, 0.000, 9.372]], "species": ["Hg", "Hg", "Mo", "Br"], "fractional_positions": [[0.000, 0.000, 0.000], [0.500, 0.500, 0.279], [0.000, 0.000, 0.493], [0.500, 0.500, 0.647]]}

***

{"formula": "Hg2MoBr", "functional": "PBE-GGA", "state": "optimized geometry", "magmom_total_mub_per_cell": 1.88, "spacegroup": "No. 71", "formation_energy_uncorrected_ev_per_atom": 0.535, "lattice": [[-1.519, 2.285, 6.897], [1.519, -2.285, 6.897], [1.519, 2.285, -6.897]], "species": ["Hg", "Hg", "Mo", "Br"], "fractional_positions": [[0.187, 0.187, 0.000], [0.813, 0.813, 0.000], [0.000, 0.500, 0.500], [0.500, 0.000, 0.500]]}

***

{"formula": "Hg2MoBr", "functional": "PBE-GGA", "state": "optimized geometry", "magmom_total_mub_per_cell": 6.85, "spacegroup": "No. 122", "formation_energy_uncorrected_ev_per_atom": 0.597, "lattice": [[-4.749, 4.749, 2.629], [4.749, -4.749, 2.629], [4.749, 4.749, -2.629]], "species": ["Hg", "Hg", "Hg", "Hg", "Mo", "Mo", "Br", "Br"], "fractional_positions": [[0.031, 0.125, 0.406], [0.375, 0.969, 0.094], [0.719, 0.625, 0.594], [0.875, 0.281, 0.906], [0.000, 0.000, 0.000], [0.750, 0.250, 0.500], [0.250, 0.750, 0.500], [0.500, 0.500, 0.000]]}

***

{"formula": "HgMo2Br", "functional": "PBE-GGA", "state": "optimized geometry", "magmom_total_mub_per_cell": 0.00, "spacegroup": "No. 44", "formation_energy_uncorrected_ev_per_atom": 0.572, "lattice": [[-1.605, 2.439, 5.779], [1.605, -2.439, 5.779], [1.605, 2.439, -5.779]], "species": ["Hg", "Mo", "Mo", "Br"], "fractional_positions": [[0.000, 0.000, 0.000], [0.356, 0.856, 0.500], [0.506, 0.506, 0.000], [0.729, 0.229, 0.500]]}

***

{"formula": "Hg2MoBr", "functional": "PBE-GGA", "state": "optimized geometry", "magmom_total_mub_per_cell": 5.00, "spacegroup": "No. 216", "formation_energy_uncorrected_ev_per_atom": 0.773, "lattice": [[0.000, 3.722, 3.722], [3.722, 0.000, 3.722], [3.722, 3.722, 0.000]], "species": ["Hg", "Hg", "Mo", "Br"], "fractional_positions": [[0.000, 0.000, 0.000], [0.250, 0.250, 0.250], [0.750, 0.750, 0.750], [0.500, 0.500, 0.500]]}

***

{"formula": "HgMo2Br", "functional": "PBE-GGA", "state": "optimized geometry", "magmom_total_mub_per_cell": 0.00, "spacegroup": "No. 119", "formation_energy_uncorrected_ev_per_atom": 1.077, "lattice": [[-2.214, 2.214, 3.783], [2.214, -2.214, 3.783], [2.214, 2.214, -3.783]], "species": ["Hg", "Mo", "Mo", "Br"], "fractional_positions": [[0.000, 0.000, 0.000], [0.250, 0.750, 0.500], [0.500, 0.500, 0.000], [0.750, 0.250, 0.500]]}

***

{"formula": "Hg3MoBr", "functional": "PBE-GGA", "state": "optimized geometry", "magmom_total_mub_per_cell": 4.21, "spacegroup": "No. 221", "formation_energy_uncorrected_ev_per_atom": 0.604, "lattice": [[5.589, 0.000, 0.000], [0.000, 5.589, 0.000], [0.000, 0.000, 5.589]], "species": ["Hg", "Hg", "Hg", "Mo", "Br"], "fractional_positions": [[0.000, 0.000, 0.500], [0.000, 0.500, 0.000], [0.500, 0.000, 0.000], [0.000, 0.000, 0.000], [0.500, 0.500, 0.500]]}

***

{"formula": "Hg3MoBr", "functional": "PBE-GGA", "state": "optimized geometry", "magmom_total_mub_per_cell": 5.19, "spacegroup": "No. 221", "formation_energy_uncorrected_ev_per_atom": 1.248, "lattice": [[6.045, 0.000, 0.000], [0.000, 6.045, 0.000], [0.000, 0.000, 6.045]], "species": ["Hg", "Hg", "Hg", "Mo", "Br"], "fractional_positions": [[0.000, 0.000, 0.500], [0.000, 0.500, 0.000], [0.500, 0.000, 0.000], [0.500, 0.500, 0.500], [0.000, 0.000, 0.000]]}

***

{"formula": "Hg2MoBr", "functional": "PBE-GGA", "state": "optimized geometry", "magmom_total_mub_per_cell": 1.03, "spacegroup": "No. 35", "formation_energy_uncorrected_ev_per_atom": 0.387, "lattice": [[1.540, -2.883, 0.000], [1.540, 2.883, 0.000], [0.000, 0.000, 11.067]], "species": ["Hg", "Hg", "Mo", "Br"], "fractional_positions": [[0.000, 0.000, 0.000], [0.500, 0.500, 0.261], [0.500, 0.500, 0.781], [0.000, 0.000, 0.601]]}

***

{"formula": "HgMo2Br", "functional": "PBE-GGA", "state": "optimized geometry", "magmom_total_mub_per_cell": 0.00, "spacegroup": "No. 65", "formation_energy_uncorrected_ev_per_atom": 0.938, "lattice": [[1.490, -2.635, 0.000], [1.490, 2.635, 0.000], [0.000, 0.000, 9.504]], "species": ["Hg", "Mo", "Mo", "Br"], "fractional_positions": [[0.000, 0.000, 0.000], [0.500, 0.500, 0.262], [0.500, 0.500, 0.738], [0.000, 0.000, 0.500]]}

***

{"formula": "HgMo2Br", "functional": "PBE-GGA", "state": "optimized geometry", "magmom_total_mub_per_cell": 0.00, "spacegroup": "No. 99", "formation_energy_uncorrected_ev_per_atom": 0.378, "lattice": [[3.209, 0.000, 0.000], [0.000, 3.209, 0.000], [0.000, 0.000, 8.285]], "species": ["Hg", "Mo", "Mo", "Br"], "fractional_positions": [[0.000, 0.000, 0.000], [0.000, 0.000, 0.399], [0.500, 0.500, 0.239], [0.500, 0.500, 0.626]]}

***

{"formula": "Hg2MoBr", "functional": "PBE-GGA", "state": "optimized geometry", "magmom_total_mub_per_cell": 0.00, "spacegroup": "No. 38", "formation_energy_uncorrected_ev_per_atom": 0.544, "lattice": [[4.518, 0.000, 0.000], [0.000, 1.644, 5.740], [0.000, -1.644, 5.740]], "species": ["Hg", "Hg", "Mo", "Br"], "fractional_positions": [[0.000, 0.000, 0.000], [0.500, 0.349, 0.349], [0.500, 0.603, 0.603], [0.000, 0.723, 0.723]]}

***

{"formula": "Hg2Mo2Br7", "functional": "PBE-GGA", "state": "optimized geometry", "magmom_total_mub_per_cell": 1.03, "spacegroup": "No. 12", "formation_energy_uncorrected_ev_per_atom": -0.299, "lattice": [[3.818, -6.597, 0.000], [3.818, 6.597, 0.000], [-1.824, 0.000, 9.688]], "species": ["Hg", "Hg", "Mo", "Mo", "Br", "Br", "Br", "Br", "Br", "Br", "Br"], "fractional_positions": [[0.217, 0.783, 0.000], [0.783, 0.217, 0.000], [0.169, 0.169, 0.559], [0.831, 0.831, 0.441], [0.080, 0.406, 0.670], [0.089, 0.089, 0.306], [0.406, 0.080, 0.670], [0.500, 0.500, 0.500], [0.594, 0.920, 0.330], [0.911, 0.911, 0.694], [0.920, 0.594, 0.330]]}

***

{"formula": "HgMo2Br", "functional": "PBE-GGA", "state": "optimized geometry", "magmom_total_mub_per_cell": 0.01, "spacegroup": "No. 123", "formation_energy_uncorrected_ev_per_atom": 1.046, "lattice": [[4.790, 0.000, 0.000], [0.000, 4.790, 0.000], [0.000, 0.000, 3.077]], "species": ["Hg", "Mo", "Mo", "Br"], "fractional_positions": [[0.000, 0.000, 0.000], [0.000, 0.500, 0.500], [0.500, 0.000, 0.500], [0.500, 0.500, 0.000]]}

***

{"formula": "HgMo3Br", "functional": "PBE-GGA", "state": "optimized geometry", "magmom_total_mub_per_cell": 0.00, "spacegroup": "No. 221", "formation_energy_uncorrected_ev_per_atom": 1.505, "lattice": [[4.625, 0.000, 0.000], [0.000, 4.625, 0.000], [0.000, 0.000, 4.625]], "species": ["Hg", "Mo", "Mo", "Mo", "Br"], "fractional_positions": [[0.000, 0.000, 0.000], [0.000, 0.500, 0.500], [0.500, 0.000, 0.500], [0.500, 0.500, 0.000], [0.500, 0.500, 0.500]]}

***

{"formula": "HgMo2Br", "functional": "PBE-GGA", "state": "optimized geometry", "magmom_total_mub_per_cell": 0.00, "spacegroup": "No. 10", "formation_energy_uncorrected_ev_per_atom": 0.672, "lattice": [[3.484, 0.000, 0.000], [0.000, 4.882, 0.000], [-0.524, 0.000, 5.531]], "species": ["Hg", "Mo", "Mo", "Br"], "fractional_positions": [[0.000, 0.000, 0.000], [0.311, 0.500, 0.151], [0.689, 0.500, 0.849], [0.500, 0.000, 0.500]]}

***

{"formula": "Hg2MoBr", "functional": "PBE-GGA", "state": "optimized geometry", "magmom_total_mub_per_cell": 3.39, "spacegroup": "No. 119", "formation_energy_uncorrected_ev_per_atom": 0.734, "lattice": [[-2.239, 2.239, 4.555], [2.239, -2.239, 4.555], [2.239, 2.239, -4.555]], "species": ["Hg", "Hg", "Mo", "Br"], "fractional_positions": [[0.000, 0.000, 0.000], [0.750, 0.250, 0.500], [0.250, 0.750, 0.500], [0.500, 0.500, 0.000]]}

***

{"formula": "HgMo2Br", "functional": "PBE-GGA", "state": "optimized geometry", "magmom_total_mub_per_cell": 0.00, "spacegroup": "No. 166", "formation_energy_uncorrected_ev_per_atom": 0.768, "lattice": [[1.515, 0.874, 8.968], [-1.515, 0.874, 8.968], [0.000, -1.749, 8.968]], "species": ["Hg", "Mo", "Mo", "Br"], "fractional_positions": [[0.000, 0.000, 0.000], [0.245, 0.245, 0.245], [0.755, 0.755, 0.755], [0.500, 0.500, 0.500]]}